A plane-wave DFT calculation with PBE-GGA was carried out for a relaxed RbFeCuSe5 crystal.

a b c (Å): 6.065 7.277 9.427
angles (deg): 90.00 100.02 90.00
Fractional positions:
Rb1 0.234 0.250 0.462
Rb2 0.766 0.750 0.538
Fe1 0.000 0.000 0.000
Fe2 0.000 0.500 0.000
Cu1 0.360 0.250 0.922
Cu2 0.640 0.750 0.078
Se1 0.178 0.510 0.797
Se2 0.178 0.990 0.797
Se3 0.219 0.750 0.370
Se4 0.227 0.750 0.116
Se5 0.476 0.750 0.833
Se6 0.524 0.250 0.167
Se7 0.773 0.250 0.884
Se8 0.781 0.250 0.630
Se9 0.822 0.010 0.203
Se10 0.822 0.490 0.203

* uncorrected energy: -4.13 eV per atom
* magnetic moment: 2.001 μB per formula unit

=====

A plane-wave DFT calculation with PBE-GGA was carried out for a relaxed RbFeCuSe3 crystal.

a b c (Å): 15.213 3.744 9.830
angles (deg): 90.00 90.00 90.00
Fractional positions:
Rb1 0.236 0.250 0.049
Rb2 0.264 0.750 0.549
Rb3 0.736 0.250 0.451
Rb4 0.764 0.750 0.951
Fe1 0.014 0.250 0.334
Fe2 0.486 0.750 0.834
Fe3 0.514 0.250 0.166
Fe4 0.986 0.750 0.666
Cu1 0.013 0.750 0.090
Cu2 0.487 0.250 0.590
Cu3 0.513 0.750 0.410
Cu4 0.987 0.250 0.910
Se1 0.069 0.250 0.569
Se2 0.086 0.750 0.860
Se3 0.115 0.750 0.277
Se4 0.385 0.250 0.777
Se5 0.414 0.250 0.360
Se6 0.431 0.750 0.069
Se7 0.569 0.250 0.931
Se8 0.586 0.750 0.640
Se9 0.615 0.750 0.223
Se10 0.885 0.250 0.723
Se11 0.914 0.250 0.140
Se12 0.931 0.750 0.431

* uncorrected energy: -4.38 eV per atom
* magnetic moment: 1.701 μB per formula unit

=====

A plane-wave DFT calculation with PBE-GGA was carried out for a relaxed RbFeCuTeSe2 crystal.

a b c (Å): 8.395 8.395 10.089
angles (deg): 90.00 90.00 154.69
Fractional positions:
Rb1 0.239 0.761 0.750
Rb2 0.761 0.239 0.250
Fe1 0.000 0.000 0.000
Fe2 0.000 0.000 0.500
Cu1 0.456 0.544 0.250
Cu2 0.544 0.456 0.750
Te1 0.067 0.933 0.250
Te2 0.933 0.067 0.750
Se1 0.394 0.606 0.038
Se2 0.394 0.606 0.462
Se3 0.606 0.394 0.538
Se4 0.606 0.394 0.962

* uncorrected energy: -4.21 eV per atom
* magnetic moment: 3.128 μB per formula unit

=====

A plane-wave DFT calculation with PBE-GGA was carried out for a relaxed RbFeCuTe2Se crystal.

a b c (Å): 8.226 8.226 10.316
angles (deg): 90.00 90.00 152.63
Fractional positions:
Rb1 0.246 0.754 0.750
Rb2 0.754 0.246 0.250
Fe1 0.500 0.500 0.000
Fe2 0.500 0.500 0.500
Cu1 0.032 0.968 0.250
Cu2 0.968 0.032 0.750
Te1 0.109 0.891 0.034
Te2 0.109 0.891 0.466
Te3 0.891 0.109 0.534
Te4 0.891 0.109 0.966
Se1 0.444 0.556 0.250
Se2 0.556 0.444 0.750

* uncorrected energy: -4.07 eV per atom
* magnetic moment: 2.173 μB per formula unit

=====

A plane-wave DFT calculation with PBE-GGA was carried out for a relaxed RbFeCuTe3 crystal.

a b c (Å): 16.314 3.949 10.413
angles (deg): 90.00 90.00 90.00
Fractional positions:
Rb1 0.235 0.250 0.052
Rb2 0.265 0.750 0.552
Rb3 0.735 0.250 0.448
Rb4 0.765 0.750 0.948
Fe1 0.014 0.250 0.330
Fe2 0.486 0.750 0.830
Fe3 0.514 0.250 0.170
Fe4 0.986 0.750 0.670
Cu1 0.012 0.750 0.085
Cu2 0.488 0.250 0.585
Cu3 0.512 0.750 0.415
Cu4 0.988 0.250 0.915
Te1 0.070 0.250 0.568
Te2 0.089 0.750 0.861
Te3 0.115 0.750 0.275
Te4 0.385 0.250 0.775
Te5 0.411 0.250 0.361
Te6 0.430 0.750 0.068
Te7 0.570 0.250 0.932
Te8 0.589 0.750 0.639
Te9 0.615 0.750 0.225
Te10 0.885 0.250 0.725
Te11 0.911 0.250 0.139
Te12 0.930 0.750 0.432

* uncorrected energy: -4.04 eV per atom
* magnetic moment: 1.450 μB per formula unit

=====

A plane-wave DFT calculation with PBE-GGA was carried out for a relaxed RbFeCuTe3 crystal.

a b c (Å): 8.276 8.276 10.577
angles (deg): 90.00 90.00 152.51
Fractional positions:
Rb1 0.240 0.760 0.750
Rb2 0.760 0.240 0.250
Fe1 0.000 0.000 0.000
Fe2 0.000 0.000 0.500
Cu1 0.458 0.542 0.250
Cu2 0.542 0.458 0.750
Te1 0.062 0.938 0.250
Te2 0.392 0.608 0.031
Te3 0.392 0.608 0.469
Te4 0.608 0.392 0.531
Te5 0.608 0.392 0.969
Te6 0.938 0.062 0.750

* uncorrected energy: -3.98 eV per atom
* magnetic moment: 1.871 μB per formula unit

=====

> uncorrected energy of number 1 (RbFeCuSe5)?

-4.13 eV per atom

=====

> The highest magnetic moment belongs to which entry?

RbFeCuTeSe2